1.
The following is a DFT calculation (PBE) of a relaxed Nd2Y4Er5 crystal.

It has space group P-1 (No. 2), with a = 3.679 Å, b = 9.217 Å, c = 10.900 Å, α = 77.41°, β = 80.31° and γ = 90.00°. The distinct sites, in fractional coordinates, are Nd at (0.116, 0.004, 0.269), Y at (0.172, 0.420, 0.157), Y at (0.471, 0.794, 0.557), Er at (0.000, 0.500, 0.500), Er at (0.250, 0.828, 0.998) and Er at (0.382, 0.306, 0.737).

As for the calculated density: 6.92 Mg/m³. For the energy relative to the elements, the calculation gives 0.6 eV/f.u. The calculation puts the volume at 355.28 Å³ per cell. The total magnetization is 0.00 μB/f.u. The value obtained for the energy above the most stable polymorph in this dataset is 0 meV per atom. The total energy is -57.6 eV/cell.

***

2.
The following is a DFT calculation (PBE) of a relaxed CaZrBe2 crystal.

It has space group Amm2 (No. 38), with a = 3.902 Å, b = 3.307 Å, c = 11.882 Å, α = 90.00°, β = 90.00° and γ = 90.00°. The distinct sites, in fractional coordinates, are Ca at (0.000, 0.000, 0.000), Zr at (0.500, 0.000, 0.713), Be at (0.000, 0.000, 0.287) and Be at (0.500, 0.000, 0.377).

As for the calculated density: 3.23 Mg/m³. For the energy relative to the elements, the calculation gives 0.9 eV/f.u. The calculation puts the volume at 153.33 Å³ per cell. The total magnetization is 0.00 μB/f.u. The value obtained for the energy above the most stable polymorph in this dataset is 105 meV per atom. The total energy is -34.1 eV/cell.

***

3.
The following is a DFT calculation (PBE) of a relaxed Tb6PmTm2Mg crystal.

It has space group C2/c (No. 15), with a = 9.266 Å, b = 15.563 Å, c = 8.730 Å, α = 90.00°, β = 91.13° and γ = 90.00°. The distinct sites, in fractional coordinates, are Tb at (0.047, 0.159, 0.446), Tb at (0.095, 0.363, 0.583), Tb at (0.246, 0.288, 0.195), Pm at (0.000, 0.039, 0.750), Tm at (0.232, 0.450, 0.941) and Mg at (0.000, 0.444, 0.250).

As for the calculated density: 7.71 Mg/m³. For the energy relative to the elements, the calculation gives 1.2 eV/f.u. The calculation puts the volume at 1258.77 Å³ per cell. The total magnetization is 0.00 μB/f.u. The total energy is -167.5 eV/cell.